Computed, not measured: an optimized crystal structure of Na5In3F12 at the PBE level of DFT.

Structure (extended XYZ):
```
80
Lattice="11.463 0.000 0.000 -3.821 10.807 0.000 -3.821 -5.404 9.359" Properties=species:S:1:pos:R:3 pbc="T T T"
F -3.814 4.255 8.825
F 2.359 1.150 3.062
F 6.903 -3.646 8.097
F 0.448 6.554 6.298
F 1.612 -1.448 8.632
F 1.462 4.253 6.298
F -0.739 6.134 3.789
F 4.560 -0.730 5.570
F 3.372 -1.150 3.062
F -1.918 2.591 5.942
F 6.180 -0.625 2.153
F -3.372 4.879 5.214
F -3.082 9.050 1.262
F 5.283 5.928 5.214
F -4.119 0.094 7.741
F 1.903 7.068 3.952
F 2.650 4.673 3.789
F 4.269 4.778 7.207
F 7.193 0.525 4.145
F 4.119 1.448 8.632
F -0.448 0.625 2.153
F 1.612 1.354 8.469
F -3.828 7.994 3.418
F -0.298 6.758 0.891
F -1.171 -2.916 6.832
F -1.462 -0.525 4.145
F 1.171 0.730 5.570
F 2.209 6.852 0.727
F 4.992 8.320 2.527
F 8.381 2.487 2.527
F -2.359 6.029 7.207
F -4.560 2.916 6.832
F 5.433 5.498 1.618
F 7.634 1.148 0.535
F 4.992 1.757 1.262
F 5.739 2.813 3.418
F 4.119 -1.354 8.469
F 1.918 -1.664 5.407
F 0.007 3.739 3.952
F 5.739 9.659 0.535
F -0.298 3.955 0.727
F -1.171 3.646 8.097
F 7.649 -2.591 5.942
F 7.940 5.309 1.618
F -1.918 -4.255 8.825
F 3.814 1.664 5.407
F -1.612 -0.094 7.741
F 2.209 4.050 0.891
Na 4.776 -3.377 8.189
Na -0.955 8.781 1.170
Na 1.910 2.702 4.680
Na -1.910 -2.702 4.680
Na 0.955 -2.702 7.019
Na 0.955 3.377 8.189
Na -3.821 2.702 4.680
Na 3.821 -2.702 4.680
Na 6.687 -0.675 5.850
Na 4.776 2.702 7.019
Na 5.731 0.000 0.000
Na 2.866 2.026 1.170
Na -1.910 5.404 0.000
Na 0.000 0.000 0.000
Na -0.955 2.702 2.340
Na 4.776 4.728 3.510
Na 3.821 5.404 0.000
Na 2.866 8.105 2.340
Na -2.866 6.079 3.510
Na -0.955 0.675 5.850
In 0.955 -0.675 3.510
In 2.866 6.079 5.850
In -4.776 5.404 7.019
In 0.955 5.404 2.340
In 2.866 0.000 7.019
In -2.866 2.026 8.189
In -0.955 4.728 5.850
In -2.866 -2.026 8.189
In 8.597 0.000 2.340
In 6.687 3.377 1.170
In 4.776 0.675 3.510
In 6.687 7.430 1.170
```

The density of states at the Fermi level comes out at 9.35 states/eV per cell. The calculation puts the uncorrected formation energy at -2.40 eV/atom. Its space-group type is No. 230. For the magnetic moment, the calculation gives 0.000 μB per atom. As for the mass density: 3938 kg/m3. As for the crystal system: cubic.

---

Computed, not measured: an optimized crystal structure of TiCu2Se at the PBE level of DFT.

Structure (extended XYZ):
```
8
Lattice="7.167 0.000 0.000 0.000 7.167 0.000 3.583 3.583 2.469" Properties=species:S:1:pos:R:3 pbc="T T T"
Cu 5.550 1.792 0.617
Cu 1.617 5.375 0.617
Cu 5.375 5.201 1.852
Cu 8.959 9.133 1.852
Se 0.000 0.000 0.000
Se 7.167 3.583 1.234
Ti 3.583 3.583 0.000
Ti 3.583 7.167 1.234
```

The density of states at the Fermi level comes out at 1.08 states/eV per cell. The calculation puts the uncorrected formation energy at -0.07 eV/atom. Its space-group type is No. 122. For the magnetic moment, the calculation gives 0.000 μB per atom. As for the mass density: 6650 kg/m3. As for the crystal system: tetragonal.

---

Computed, not measured: an optimized crystal structure of DyPuTlBr6 at the PBE level of DFT.

Structure (extended XYZ):
```
18
Lattice="-5.772 -3.432 -3.309 6.158 -3.880 1.751 -5.670 -3.091 13.096" Properties=species:S:1:pos:R:3 pbc="T T T"
Dy -2.071 -6.049 9.886
Dy -3.213 -4.354 1.652
Br 0.388 -7.008 8.879
Br -2.456 -8.636 10.955
Br -3.266 -6.615 7.389
Br -2.017 -3.788 4.149
Br -4.656 -5.341 10.780
Br -1.406 -3.472 8.936
Br -0.627 -5.062 0.758
Br -4.255 -5.182 -0.841
Br -3.877 -6.931 2.602
Br -2.827 -1.767 0.583
Br -1.029 -5.221 12.379
Br -5.672 -3.395 2.659
Tl -2.835 -1.546 6.548
Tl 0.000 0.000 0.000
Pu 0.764 -4.503 3.338
Pu -6.048 -5.900 8.200
```

The density of states at the Fermi level comes out at 35.21 states/eV per cell. The calculation puts the uncorrected formation energy at -1.51 eV/atom. Its space-group type is No. 163. For the magnetic moment, the calculation gives 0.667 μB per atom. As for the mass density: 5109 kg/m3. As for the crystal system: trigonal.

---

Computed, not measured: an optimized crystal structure of Sr2PbSe at the PBE level of DFT.

Structure (extended XYZ):
```
4
Lattice="1.572 3.142 4.465 -2.758 4.821 1.193 -3.346 0.300 4.582" Properties=species:S:1:pos:R:3 pbc="T T T"
Se 0.000 0.000 0.000
Sr -3.400 6.197 7.679
Sr -1.133 2.066 2.560
Pb -2.266 4.131 5.119
```

The density of states at the Fermi level comes out at 4.94 states/eV per cell. The calculation puts the uncorrected formation energy at -0.81 eV/atom. Its space-group type is No. 225. For the magnetic moment, the calculation gives 0.000 μB per atom. As for the mass density: 5909 kg/m3. As for the crystal system: cubic.

---

Computed, not measured: an optimized crystal structure of CeMgCdGe at the PBE level of DFT.

Structure (extended XYZ):
```
4
Lattice="-0.774 0.151 4.991 -2.210 -3.900 2.333 2.702 -2.971 3.067" Properties=species:S:1:pos:R:3 pbc="T T T"
Cd -0.211 -5.040 7.793
Ge -0.070 -1.680 2.598
Mg 0.000 0.000 0.000
Ce -0.141 -3.360 5.196
```

The density of states at the Fermi level comes out at 4.91 states/eV per cell. Its space-group type is No. 216. For the magnetic moment, the calculation gives 0.000 μB per atom. As for the mass density: 6360 kg/m3. As for the crystal system: cubic. The energy of formation comes out at -0.32 eV/atom.

---

magnetic moment of number 2 (TiCu2Se)?
0.000 μB per atom

---

Among the records above, which one has the lowest mass density?
Na5In3F12